Computed, not measured: a relaxed Cu2ReO crystal at the GGA-PBE level of DFT. Values from VASP.

Cell and atoms, written as Quantum ESPRESSO input:
```
&SYSTEM
  ibrav = 0, nat = 8, ntyp = 3
/
ATOMIC_SPECIES
Cu 63.55 Cu.upf
Re 186.21 Re.upf
O 16.00 O.upf
CELL_PARAMETERS angstrom
-3.451 3.451 2.038
3.451 -3.451 2.038
3.451 3.451 -2.038
ATOMIC_POSITIONS crystal
Cu 0.057 0.625 0.932
Cu 0.375 0.307 0.432
Cu 0.693 0.125 0.068
Cu 0.875 0.943 0.568
Re 0.250 0.750 0.500
Re 0.500 0.500 0.000
O 0.000 0.000 0.000
O 0.750 0.250 0.500
```

Output
- crystal system = tetragonal
- raw formation energy (eV per atom) = 0.38


Computed, not measured: a relaxed PmPrPbN crystal at the GGA-PBE level of DFT. Values from VASP.

Cell and atoms, written as Quantum ESPRESSO input:
```
&SYSTEM
  ibrav = 0, nat = 4, ntyp = 4
/
ATOMIC_SPECIES
Pm 145.00 Pm.upf
Pr 140.91 Pr.upf
Pb 207.20 Pb.upf
N 14.01 N.upf
CELL_PARAMETERS angstrom
-1.848 1.872 7.631
1.848 -1.872 7.631
1.848 1.872 -7.631
ATOMIC_POSITIONS crystal
Pm 0.000 0.000 0.000
Pr 0.687 0.687 0.000
Pb 0.345 0.345 0.000
N 0.092 0.592 0.500
```

Output
- crystal system = orthorhombic
- raw formation energy (eV per atom) = -0.86


Computed, not measured: a relaxed Nd6BiP2S3 crystal at the GGA-PBE level of DFT. Values from VASP.

Cell and atoms, written as Quantum ESPRESSO input:
```
&SYSTEM
  ibrav = 0, nat = 12, ntyp = 4
/
ATOMIC_SPECIES
Nd 144.24 Nd.upf
Bi 208.98 Bi.upf
P 30.97 P.upf
S 32.06 S.upf
CELL_PARAMETERS angstrom
9.138 -2.097 0.000
9.138 2.097 0.000
-1.856 0.000 8.227
ATOMIC_POSITIONS crystal
Nd 0.004 0.004 0.274
Nd 0.325 0.325 0.901
Nd 0.330 0.330 0.421
Nd 0.670 0.670 0.579
Nd 0.675 0.675 0.099
Nd 0.996 0.996 0.726
Bi 0.500 0.500 0.000
P 0.168 0.168 0.336
P 0.832 0.832 0.664
S 0.164 0.164 0.833
S 0.500 0.500 0.500
S 0.836 0.836 0.167
```

Output
- crystal system = monoclinic
- raw formation energy (eV per atom) = -1.67


Computed, not measured: a relaxed TbPr2Sm4Y2 crystal at the GGA-PBE level of DFT. Values from VASP.

Cell and atoms, written as Quantum ESPRESSO input:
```
&SYSTEM
  ibrav = 0, nat = 9, ntyp = 4
/
ATOMIC_SPECIES
Tb 158.93 Tb.upf
Pr 140.91 Pr.upf
Sm 150.36 Sm.upf
Y 88.91 Y.upf
CELL_PARAMETERS angstrom
9.493 -1.832 0.000
9.493 1.832 0.000
-4.217 0.000 8.766
ATOMIC_POSITIONS crystal
Tb 0.000 0.000 0.000
Pr 0.334 0.334 0.001
Pr 0.666 0.666 0.999
Sm 0.185 0.185 0.334
Sm 0.481 0.481 0.666
Sm 0.519 0.519 0.334
Sm 0.815 0.815 0.666
Y 0.147 0.147 0.665
Y 0.853 0.853 0.335
```

Output
- crystal system = monoclinic
- formation energy (eV per atom) = 0.002


Computed, not measured: a relaxed CaSmMg4 crystal at the GGA-PBE level of DFT. Values from VASP.

Cell and atoms, written as Quantum ESPRESSO input:
```
&SYSTEM
  ibrav = 0, nat = 6, ntyp = 3
/
ATOMIC_SPECIES
Ca 40.08 Ca.upf
Sm 150.36 Sm.upf
Mg 24.30 Mg.upf
CELL_PARAMETERS angstrom
0.000 4.346 4.346
4.346 0.000 4.346
4.346 4.346 0.000
ATOMIC_POSITIONS crystal
Ca 0.000 0.000 0.000
Sm 0.250 0.250 0.250
Mg 0.127 0.624 0.624
Mg 0.624 0.127 0.624
Mg 0.624 0.624 0.127
Mg 0.624 0.624 0.624
```

Output
- crystal system = cubic
- formation energy (eV per atom) = -0.095


Computed, not measured: a relaxed PaZn4Bi crystal at the GGA-PBE level of DFT. Values from VASP.

Cell and atoms, written as Quantum ESPRESSO input:
```
&SYSTEM
  ibrav = 0, nat = 6, ntyp = 3
/
ATOMIC_SPECIES
Pa 231.04 Pa.upf
Zn 65.41 Zn.upf
Bi 208.98 Bi.upf
CELL_PARAMETERS angstrom
0.000 3.929 3.929
3.929 0.000 3.929
3.929 3.929 0.000
ATOMIC_POSITIONS crystal
Pa 0.000 0.000 0.000
Zn 0.375 0.375 0.375
Zn 0.375 0.375 0.876
Zn 0.375 0.876 0.375
Zn 0.876 0.375 0.375
Bi 0.750 0.750 0.750
```

Output
- crystal system = cubic
- formation energy (eV per atom) = 0.127


Computed, not measured: a relaxed RbBeCd2Au crystal at the GGA-PBE level of DFT. Values from VASP.

Cell and atoms, written as Quantum ESPRESSO input:
```
&SYSTEM
  ibrav = 0, nat = 5, ntyp = 4
/
ATOMIC_SPECIES
Rb 85.47 Rb.upf
Be 9.01 Be.upf
Cd 112.41 Cd.upf
Au 196.97 Au.upf
CELL_PARAMETERS angstrom
5.018 0.000 0.000
0.000 5.018 0.000
0.000 0.000 4.872
ATOMIC_POSITIONS crystal
Rb 0.000 0.000 0.000
Be 0.500 0.500 0.500
Cd 0.000 0.500 0.500
Cd 0.500 0.000 0.500
Au 0.500 0.500 0.000
```

Output
- crystal system = tetragonal
- formation energy (eV per atom) = 0.063


Computed, not measured: a relaxed MnAlP crystal at the GGA-PBE level of DFT. Values from VASP.

Cell and atoms, written as Quantum ESPRESSO input:
```
&SYSTEM
  ibrav = 0, nat = 3, ntyp = 3
/
ATOMIC_SPECIES
Mn 54.94 Mn.upf
Al 26.98 Al.upf
P 30.97 P.upf
CELL_PARAMETERS angstrom
2.864 0.000 0.000
-1.432 2.480 0.000
0.000 0.000 5.568
ATOMIC_POSITIONS crystal
Mn 0.000 0.000 0.000
Al 0.667 0.333 0.657
P 0.333 0.667 0.270
```

Output
- crystal system = trigonal
- formation energy (eV per atom) = -0.255